DFT (PBE) results for TbPm2Si2Ni2 after structural relaxation.

Cell: 4.0536 4.0536 11.3351 Å, 79.70 79.70 60.00°
Last column: nearest neighbours and their distance in Å.
Fractional coordinates of all 7 atoms:
Pm (0.1147, 0.1147, 0.6560)  3 Si 2.99, 3 Ni 3.00
Pm (0.8853, 0.8853, 0.3440)  3 Si 2.99, 3 Ni 3.00
Si (0.2745, 0.2745, 0.1766)  3 Ni 2.34
Si (0.7255, 0.7255, 0.8234)  3 Ni 2.34
Ni (0.6085, 0.6085, 0.1744)  3 Si 2.34
Tb (0.0000, 0.0000, 0.0000)  6 Ni 3.04, 6 Si 3.05
Ni (0.3915, 0.3915, 0.8256)  3 Si 2.34

Output
- Symmetry: No. 166
- Formation energy without anion corrections: -638 meV/atom

***

DFT (PBE) results for TbPmSi2Ni2 after structural relaxation.

Cell: 3.9904 3.9904 8.2173 Å, 90.00 90.00 120.00°
Last column: nearest neighbours and their distance in Å.
Fractional coordinates of all 6 atoms:
Tb (0.0000, 0.0000, 0.5000)  6 Ni 3.04, 6 Si 3.06
Si (0.3333, 0.6667, 0.2550)  3 Ni 2.30
Ni (0.3333, 0.6667, 0.7421)  3 Si 2.30
Pm (0.0000, 0.0000, 0.0000)  6 Si 3.11, 6 Ni 3.13
Si (0.6667, 0.3333, 0.7450)  3 Ni 2.30
Ni (0.6667, 0.3333, 0.2579)  3 Si 2.30

Output
- Symmetry: No. 164
- Formation energy without anion corrections: -759 meV/atom

***

DFT (PBE) results for TbPmSiNi after structural relaxation.

Cell: 4.9746 4.9746 4.9746 Å, 60.00 60.00 60.00°
Last column: nearest neighbours and their distance in Å.
Fractional coordinates of all 4 atoms:
Tb (0.0000, 0.0000, 0.0000)  4 Ni 3.05, 4 Si 3.05
Ni (0.2500, 0.2500, 0.2500)  4 Tb 3.05, 4 Pm 3.05
Si (0.7500, 0.7500, 0.7500)  4 Tb 3.05, 4 Pm 3.05
Pm (0.5000, 0.5000, 0.5000)  4 Ni 3.05, 4 Si 3.05

Output
- Symmetry: No. 216
- Relative energy among the computed polymorphs: 17.1 kJ per mole of atoms
- Formation energy without anion corrections: -412 meV/atom

***

DFT (PBE) results for TbPmSiNi after structural relaxation.

Cell: 4.0954 4.0762 5.7140 Å, 90.00 111.00 90.00°
Last column: nearest neighbours and their distance in Å.
Fractional coordinates of all 4 atoms:
Si (0.5628, 0.5000, 0.1256)  2 Ni 2.47
Tb (0.8618, 0.5000, 0.7237)  3 Si 2.96-3.19, 4 Ni 2.99
Ni (0.4326, 0.0000, 0.8653)  2 Si 2.47
Pm (0.1427, 0.0000, 0.2854)  4 Si 3.01, 3 Ni 3.04-3.09

Output
- Symmetry: No. 38
- Relative energy among the computed polymorphs: 0.0 kJ per mole of atoms
- Formation energy without anion corrections: -589 meV/atom

***

Q: Which value of formation energy without anion corrections does entry 2 give?
A: -759 meV/atom

***

Q: The lowest formation energy without anion corrections belongs to which entry?
A: TbPmSi2Ni2

***

Copy entry 2 word for word.
DFT (PBE) results for TbPmSi2Ni2 after structural relaxation.

Cell: 3.9904 3.9904 8.2173 Å, 90.00 90.00 120.00°
Last column: nearest neighbours and their distance in Å.
Fractional coordinates of all 6 atoms:
Tb (0.0000, 0.0000, 0.5000)  6 Ni 3.04, 6 Si 3.06
Si (0.3333, 0.6667, 0.2550)  3 Ni 2.30
Ni (0.3333, 0.6667, 0.7421)  3 Si 2.30
Pm (0.0000, 0.0000, 0.0000)  6 Si 3.11, 6 Ni 3.13
Si (0.6667, 0.3333, 0.7450)  3 Ni 2.30
Ni (0.6667, 0.3333, 0.2579)  3 Si 2.30

Output
- Symmetry: No. 164
- Formation energy without anion corrections: -759 meV/atom

***

Please write out number 4 again, unchanged.
DFT (PBE) results for TbPmSiNi after structural relaxation.

Cell: 4.0954 4.0762 5.7140 Å, 90.00 111.00 90.00°
Last column: nearest neighbours and their distance in Å.
Fractional coordinates of all 4 atoms:
Si (0.5628, 0.5000, 0.1256)  2 Ni 2.47
Tb (0.8618, 0.5000, 0.7237)  3 Si 2.96-3.19, 4 Ni 2.99
Ni (0.4326, 0.0000, 0.8653)  2 Si 2.47
Pm (0.1427, 0.0000, 0.2854)  4 Si 3.01, 3 Ni 3.04-3.09

Output
- Symmetry: No. 38
- Relative energy among the computed polymorphs: 0.0 kJ per mole of atoms
- Formation energy without anion corrections: -589 meV/atom